Entry from Alexandria via LeMat-Bulk: a relaxed structure of CrW2F (GGA+U).

The structure in POSCAR format:
```
CrW2F
1.0
-0.573 4.470 -5.363
4.874 -3.596 -3.518
-0.078 -1.355 -5.696
W F Cr
4 2 2
direct
0.179 0.625 0.250
0.375 0.429 0.750
0.571 0.125 0.250
0.875 0.821 0.750
0.250 0.750 0.500
0.500 0.500 0.000
0.000 0.000 0.000
0.750 0.250 0.500
```

Summary:
The calculation puts the energy above the most stable polymorph in this dataset at 0.000 eV per atom. Its space group is I-42d. The calculation puts the density at 9.51 g/cm³.